Density functional theory data (PBE) for an optimized crystal structure of TbY3Ho3.

## Properties
D(E_F) = 34.24 states/eV/cell
Energy = -35.99 eV per formula unit
ΔE_f = 0.253 eV per atom

Unit cell a=9.8264 b=9.8264 c=8.2334 alpha=90.00 beta=90.00 gamma=120.00
Space group R3m (No. 160, hexagonal axes)
Asymmetric unit:
Tb: 0.0000 0.0000 0.0000 x3
Y: 0.1999 0.3998 0.9481 x9
Ho: 0.2170 0.4341 0.3727 x9